Below is a relaxed MgCBr2 crystal, with properties calculated at the PBE-GGA level.

Structure (CIF):
```
data_MgCBr2
_cell_length_a 4.877
_cell_length_b 4.877
_cell_length_c 4.877
_cell_angle_alpha 60.00
_cell_angle_beta 60.00
_cell_angle_gamma 60.00
_symmetry_space_group_name_H-M 'P 1'
_symmetry_Int_Tables_number 1
_symmetry_space_group_name_Hall 'P 1'
loop_
_atom_site_label
_atom_site_fract_x
_atom_site_fract_y
_atom_site_fract_z
Mg1 0.500 0.500 0.500
C1 0.000 0.000 0.000
Br1 0.250 0.250 0.250
Br2 0.750 0.750 0.750
```

Output
Energy above the lowest structure with this stoichiometry, kJ per mole of atoms: 30.3
ΔE_f (raw), eV/atom: 1.06
D(E_F), states/eV per cell: 4.1

Below is a relaxed MgCBr2 crystal, with properties calculated at the PBE-GGA level.

Structure (CIF):
```
data_MgCBr2
_cell_length_a 8.882
_cell_length_b 8.882
_cell_length_c 8.882
_cell_angle_alpha 22.74
_cell_angle_beta 22.74
_cell_angle_gamma 22.74
_symmetry_space_group_name_H-M 'P 1'
_symmetry_Int_Tables_number 1
_symmetry_space_group_name_Hall 'P 1'
loop_
_atom_site_label
_atom_site_fract_x
_atom_site_fract_y
_atom_site_fract_z
Mg1 0.000 0.000 0.000
C1 0.500 0.500 0.500
Br1 0.889 0.889 0.889
Br2 0.111 0.111 0.111
```

Output
Energy above the lowest structure with this stoichiometry, kJ per mole of atoms: 42.2
ΔE_f (raw), eV/atom: 1.18
D(E_F), states/eV per cell: 1.6

Below is a relaxed MgCBr2 crystal, with properties calculated at the PBE-GGA level.

Structure (CIF):
```
data_MgCBr2
_cell_length_a 8.298
_cell_length_b 8.298
_cell_length_c 8.298
_cell_angle_alpha 27.66
_cell_angle_beta 27.66
_cell_angle_gamma 27.66
_symmetry_space_group_name_H-M 'P 1'
_symmetry_Int_Tables_number 1
_symmetry_space_group_name_Hall 'P 1'
loop_
_atom_site_label
_atom_site_fract_x
_atom_site_fract_y
_atom_site_fract_z
Mg1 0.500 0.500 0.500
C1 0.000 0.000 0.000
Br1 0.895 0.895 0.895
Br2 0.105 0.105 0.105
```

Output
Energy above the lowest structure with this stoichiometry, kJ per mole of atoms: 0.0
ΔE_f (raw), eV/atom: 0.74
D(E_F), states/eV per cell: 0.2

Below is a relaxed MgC2Br crystal, with properties calculated at the PBE-GGA level.

Structure (CIF):
```
data_MgC2Br
_cell_length_a 5.053
_cell_length_b 5.053
_cell_length_c 6.187
_cell_angle_alpha 65.90
_cell_angle_beta 65.90
_cell_angle_gamma 90.00
_symmetry_space_group_name_H-M 'P 1'
_symmetry_Int_Tables_number 1
_symmetry_space_group_name_Hall 'P 1'
loop_
_atom_site_label
_atom_site_fract_x
_atom_site_fract_y
_atom_site_fract_z
Mg1 0.500 0.500 0.000
Mg2 0.250 0.750 0.500
C1 0.636 0.125 0.250
C2 0.114 0.625 0.250
C3 0.375 0.364 0.750
C4 0.875 0.886 0.750
Br1 0.000 0.000 0.000
Br2 0.750 0.250 0.500
```

Output
Energy above the lowest structure with this stoichiometry, kJ per mole of atoms: 0.0
ΔE_f (raw), eV/atom: 2.06
D(E_F), states/eV per cell: 1.3

Below is a relaxed MgCBr2 crystal, with properties calculated at the PBE-GGA level.

Structure (CIF):
```
data_MgCBr2
_cell_length_a 4.967
_cell_length_b 4.967
_cell_length_c 8.383
_cell_angle_alpha 72.77
_cell_angle_beta 72.77
_cell_angle_gamma 90.00
_symmetry_space_group_name_H-M 'P 1'
_symmetry_Int_Tables_number 1
_symmetry_space_group_name_Hall 'P 1'
loop_
_atom_site_label
_atom_site_fract_x
_atom_site_fract_y
_atom_site_fract_z
Mg1 0.000 0.000 0.000
Mg2 0.750 0.250 0.500
C1 0.500 0.500 0.000
C2 0.250 0.750 0.500
Br1 0.601 0.125 0.250
Br2 0.149 0.625 0.250
Br3 0.375 0.399 0.750
Br4 0.875 0.851 0.750
```

Output
Energy above the lowest structure with this stoichiometry, kJ per mole of atoms: 20.1
ΔE_f (raw), eV/atom: 0.95
D(E_F), states/eV per cell: 0.2

Below is a relaxed Mg3CBr crystal, with properties calculated at the PBE-GGA level.

Structure (CIF):
```
data_Mg3CBr
_cell_length_a 5.063
_cell_length_b 5.063
_cell_length_c 5.063
_cell_angle_alpha 90.00
_cell_angle_beta 90.00
_cell_angle_gamma 90.00
_symmetry_space_group_name_H-M 'P 1'
_symmetry_Int_Tables_number 1
_symmetry_space_group_name_Hall 'P 1'
loop_
_atom_site_label
_atom_site_fract_x
_atom_site_fract_y
_atom_site_fract_z
Mg1 0.000 0.500 0.000
Mg2 0.000 0.000 0.500
Mg3 0.500 0.000 0.000
C1 0.500 0.500 0.500
Br1 0.000 0.000 0.000
```

Output
Energy above the lowest structure with this stoichiometry, kJ per mole of atoms: 156.2
ΔE_f (raw), eV/atom: 1.58
D(E_F), states/eV per cell: 4.4

Below is a relaxed Mg3CBr crystal, with properties calculated at the PBE-GGA level.

Structure (CIF):
```
data_Mg3CBr
_cell_length_a 4.524
_cell_length_b 4.524
_cell_length_c 4.524
_cell_angle_alpha 90.00
_cell_angle_beta 90.00
_cell_angle_gamma 90.00
_symmetry_space_group_name_H-M 'P 1'
_symmetry_Int_Tables_number 1
_symmetry_space_group_name_Hall 'P 1'
loop_
_atom_site_label
_atom_site_fract_x
_atom_site_fract_y
_atom_site_fract_z
Mg1 0.000 0.500 0.000
Mg2 0.000 0.000 0.500
Mg3 0.500 0.000 0.000
C1 0.000 0.000 0.000
Br1 0.500 0.500 0.500
```

Output
Energy above the lowest structure with this stoichiometry, kJ per mole of atoms: 0.0
ΔE_f (raw), eV/atom: -0.04
D(E_F), states/eV per cell: 2.2

Below is a relaxed MgC2Br crystal, with properties calculated at the PBE-GGA level.

Structure (CIF):
```
data_MgC2Br
_cell_length_a 4.243
_cell_length_b 4.243
_cell_length_c 4.243
_cell_angle_alpha 60.00
_cell_angle_beta 60.00
_cell_angle_gamma 60.00
_symmetry_space_group_name_H-M 'P 1'
_symmetry_Int_Tables_number 1
_symmetry_space_group_name_Hall 'P 1'
loop_
_atom_site_label
_atom_site_fract_x
_atom_site_fract_y
_atom_site_fract_z
Mg1 0.000 0.000 0.000
C1 0.250 0.250 0.250
C2 0.750 0.750 0.750
Br1 0.500 0.500 0.500
```

Output
Energy above the lowest structure with this stoichiometry, kJ per mole of atoms: 41.0
ΔE_f (raw), eV/atom: 2.48
D(E_F), states/eV per cell: 3.1

Below is a relaxed Na3MgC2BrO6 crystal, with properties calculated at the PBE-GGA level.

Structure (CIF):
```
data_Na3MgC2BrO6
_cell_length_a 10.185
_cell_length_b 10.185
_cell_length_c 10.185
_cell_angle_alpha 60.00
_cell_angle_beta 60.00
_cell_angle_gamma 60.00
_symmetry_space_group_name_H-M 'P 1'
_symmetry_Int_Tables_number 1
_symmetry_space_group_name_Hall 'P 1'
loop_
_atom_site_label
_atom_site_fract_x
_atom_site_fract_y
_atom_site_fract_z
Na1 0.490 0.010 0.010
Na2 0.240 0.760 0.240
Na3 0.760 0.240 0.760
Na4 0.010 0.010 0.490
Na5 0.010 0.490 0.010
Na6 0.760 0.240 0.240
Na7 0.010 0.490 0.490
Na8 0.240 0.760 0.760
Na9 0.490 0.010 0.490
Na10 0.240 0.240 0.760
Na11 0.760 0.760 0.240
Na12 0.490 0.490 0.010
Mg1 0.625 0.125 0.625
Mg2 0.125 0.625 0.625
Mg3 0.625 0.625 0.625
Mg4 0.625 0.625 0.125
C1 0.775 0.408 0.408
C2 0.408 0.408 0.408
C3 0.408 0.408 0.775
C4 0.475 0.842 0.842
C5 0.842 0.475 0.842
C6 0.842 0.842 0.475
C7 0.408 0.775 0.408
C8 0.842 0.842 0.842
Br1 0.125 0.625 0.125
Br2 0.125 0.125 0.125
Br3 0.625 0.125 0.125
Br4 0.125 0.125 0.625
O1 0.481 0.481 0.777
O2 0.769 0.769 0.473
O3 0.777 0.481 0.261
O4 0.473 0.769 0.769
O5 0.777 0.481 0.481
O6 0.989 0.769 0.473
O7 0.473 0.989 0.769
O8 0.473 0.769 0.989
O9 0.777 0.261 0.481
O10 0.769 0.989 0.473
O11 0.769 0.989 0.769
O12 0.769 0.769 0.989
O13 0.769 0.473 0.989
O14 0.481 0.261 0.777
O15 0.261 0.777 0.481
O16 0.989 0.473 0.769
O17 0.481 0.777 0.481
O18 0.481 0.481 0.261
O19 0.261 0.481 0.481
O20 0.769 0.473 0.769
O21 0.481 0.261 0.481
O22 0.481 0.777 0.261
O23 0.261 0.481 0.777
O24 0.989 0.769 0.769
```

Output
ΔE_f (raw), eV/atom: -1.83
D(E_F), states/eV per cell: 0.0

Below is a relaxed Rb2MgCBr6 crystal, with properties calculated at the PBE-GGA level.

Structure (CIF):
```
data_Rb2MgCBr6
_cell_length_a 7.415
_cell_length_b 7.415
_cell_length_c 7.414
_cell_angle_alpha 60.00
_cell_angle_beta 60.00
_cell_angle_gamma 90.00
_symmetry_space_group_name_H-M 'P 1'
_symmetry_Int_Tables_number 1
_symmetry_space_group_name_Hall 'P 1'
loop_
_atom_site_label
_atom_site_fract_x
_atom_site_fract_y
_atom_site_fract_z
C1 0.500 0.500 0.000
Mg1 0.000 0.000 0.000
Br1 0.259 0.259 0.482
Br2 0.741 0.741 0.518
Br3 0.259 0.259 0.000
Br4 0.741 0.741 0.000
Br5 0.741 0.259 0.000
Br6 0.259 0.741 0.000
Rb1 0.750 0.250 0.500
Rb2 0.250 0.750 0.500
```

Output
ΔE_f (raw), eV/atom: -0.63
D(E_F), states/eV per cell: 0.0

Below is a relaxed MgCSe2Br crystal, with properties calculated at the PBE-GGA level.

Structure (CIF):
```
data_MgCSe2Br
_cell_length_a 5.090
_cell_length_b 5.090
_cell_length_c 4.974
_cell_angle_alpha 90.00
_cell_angle_beta 90.00
_cell_angle_gamma 90.00
_symmetry_space_group_name_H-M 'P 1'
_symmetry_Int_Tables_number 1
_symmetry_space_group_name_Hall 'P 1'
loop_
_atom_site_label
_atom_site_fract_x
_atom_site_fract_y
_atom_site_fract_z
C1 0.500 0.500 0.500
Mg1 0.000 0.000 0.000
Se1 0.000 0.500 0.000
Se2 0.500 0.000 0.000
Br1 0.000 0.000 0.500
```

Output
Energy above the lowest structure with this stoichiometry, kJ per mole of atoms: 68.7
ΔE_f (raw), eV/atom: 1.41
D(E_F), states/eV per cell: 6.2

Below is a relaxed MgCSe2Br crystal, with properties calculated at the PBE-GGA level.

Structure (CIF):
```
data_MgCSe2Br
_cell_length_a 4.319
_cell_length_b 4.319
_cell_length_c 5.393
_cell_angle_alpha 90.00
_cell_angle_beta 90.00
_cell_angle_gamma 90.00
_symmetry_space_group_name_H-M 'P 1'
_symmetry_Int_Tables_number 1
_symmetry_space_group_name_Hall 'P 1'
loop_
_atom_site_label
_atom_site_fract_x
_atom_site_fract_y
_atom_site_fract_z
C1 0.000 0.000 0.000
Mg1 0.500 0.500 0.500
Se1 0.000 0.500 0.000
Se2 0.500 0.000 0.000
Br1 0.000 0.000 0.500
```

Output
Energy above the lowest structure with this stoichiometry, kJ per mole of atoms: 0.0
ΔE_f (raw), eV/atom: 0.70
D(E_F), states/eV per cell: 3.2

Below is a relaxed MgCSeBr2 crystal, with properties calculated at the PBE-GGA level.

Structure (CIF):
```
data_MgCSeBr2
_cell_length_a 4.777
_cell_length_b 4.777
_cell_length_c 4.478
_cell_angle_alpha 90.00
_cell_angle_beta 90.00
_cell_angle_gamma 90.00
_symmetry_space_group_name_H-M 'P 1'
_symmetry_Int_Tables_number 1
_symmetry_space_group_name_Hall 'P 1'
loop_
_atom_site_label
_atom_site_fract_x
_atom_site_fract_y
_atom_site_fract_z
C1 0.000 0.000 0.000
Mg1 0.500 0.500 0.500
Se1 0.000 0.000 0.500
Br1 0.000 0.500 0.000
Br2 0.500 0.000 0.000
```

Output
Energy above the lowest structure with this stoichiometry, kJ per mole of atoms: 0.0
ΔE_f (raw), eV/atom: 0.68
D(E_F), states/eV per cell: 1.9

Below is a relaxed MgCSeBr2 crystal, with properties calculated at the PBE-GGA level.

Structure (CIF):
```
data_MgCSeBr2
_cell_length_a 5.049
_cell_length_b 5.049
_cell_length_c 5.303
_cell_angle_alpha 90.00
_cell_angle_beta 90.00
_cell_angle_gamma 90.00
_symmetry_space_group_name_H-M 'P 1'
_symmetry_Int_Tables_number 1
_symmetry_space_group_name_Hall 'P 1'
loop_
_atom_site_label
_atom_site_fract_x
_atom_site_fract_y
_atom_site_fract_z
C1 0.500 0.500 0.500
Mg1 0.000 0.000 0.000
Se1 0.000 0.000 0.500
Br1 0.000 0.500 0.000
Br2 0.500 0.000 0.000
```

Output
Energy above the lowest structure with this stoichiometry, kJ per mole of atoms: 46.7
ΔE_f (raw), eV/atom: 1.16
D(E_F), states/eV per cell: 6.6

Below is a relaxed MgTe2CBr crystal, with properties calculated at the PBE-GGA level.

Structure (CIF):
```
data_MgTe2CBr
_cell_length_a 5.613
_cell_length_b 5.012
_cell_length_c 5.613
_cell_angle_alpha 90.00
_cell_angle_beta 90.00
_cell_angle_gamma 90.00
_symmetry_space_group_name_H-M 'P 1'
_symmetry_Int_Tables_number 1
_symmetry_space_group_name_Hall 'P 1'
loop_
_atom_site_label
_atom_site_fract_x
_atom_site_fract_y
_atom_site_fract_z
Mg1 0.000 0.000 0.000
Te1 0.000 0.000 0.500
Te2 0.500 0.000 0.000
C1 0.500 0.500 0.500
Br1 0.000 0.500 0.000
```

Output
ΔE_f (raw), eV/atom: 1.32
D(E_F), states/eV per cell: 3.9

Below is a relaxed MgVCBr2 crystal, with properties calculated at the PBE-GGA level.

Structure (CIF):
```
data_MgVCBr2
_cell_length_a 5.268
_cell_length_b 3.788
_cell_length_c 5.268
_cell_angle_alpha 90.00
_cell_angle_beta 90.00
_cell_angle_gamma 90.00
_symmetry_space_group_name_H-M 'P 1'
_symmetry_Int_Tables_number 1
_symmetry_space_group_name_Hall 'P 1'
loop_
_atom_site_label
_atom_site_fract_x
_atom_site_fract_y
_atom_site_fract_z
Mg1 0.500 0.500 0.500
C1 0.000 0.500 0.000
Br1 0.000 0.000 0.500
Br2 0.500 0.000 0.000
V1 0.000 0.000 0.000
```

Output
ΔE_f (raw), eV/atom: 0.33
D(E_F), states/eV per cell: 3.0

Below is a relaxed YMgC2Br crystal, with properties calculated at the PBE-GGA level.

Structure (CIF):
```
data_YMgC2Br
_cell_length_a 4.557
_cell_length_b 5.600
_cell_length_c 4.557
_cell_angle_alpha 90.00
_cell_angle_beta 90.00
_cell_angle_gamma 90.00
_symmetry_space_group_name_H-M 'P 1'
_symmetry_Int_Tables_number 1
_symmetry_space_group_name_Hall 'P 1'
loop_
_atom_site_label
_atom_site_fract_x
_atom_site_fract_y
_atom_site_fract_z
Y1 0.000 0.000 0.000
Mg1 0.500 0.500 0.500
C1 0.000 0.000 0.500
C2 0.500 0.000 0.000
Br1 0.000 0.500 0.000
```

Output
ΔE_f (raw), eV/atom: 1.35
D(E_F), states/eV per cell: 3.1

Below is a relaxed MnC2Br crystal, with properties calculated at the PBE-GGA level.

Structure (CIF):
```
data_MnC2Br
_cell_length_a 5.180
_cell_length_b 5.180
_cell_length_c 5.808
_cell_angle_alpha 63.52
_cell_angle_beta 63.52
_cell_angle_gamma 90.00
_symmetry_space_group_name_H-M 'P 1'
_symmetry_Int_Tables_number 1
_symmetry_space_group_name_Hall 'P 1'
loop_
_atom_site_label
_atom_site_fract_x
_atom_site_fract_y
_atom_site_fract_z
C1 0.478 0.125 0.250
C2 0.272 0.625 0.250
C3 0.375 0.522 0.750
C4 0.875 0.728 0.750
Mn1 0.500 0.500 0.000
Mn2 0.250 0.750 0.500
Br1 0.000 0.000 0.000
Br2 0.750 0.250 0.500
```

Output
Energy above the lowest structure with this stoichiometry, kJ per mole of atoms: 0.0
ΔE_f (raw), eV/atom: 1.42
D(E_F), states/eV per cell: 4.7

Below is a relaxed MnC3Br crystal, with properties calculated at the PBE-GGA level.

Structure (CIF):
```
data_MnC3Br
_cell_length_a 3.839
_cell_length_b 3.839
_cell_length_c 3.839
_cell_angle_alpha 90.00
_cell_angle_beta 90.00
_cell_angle_gamma 90.00
_symmetry_space_group_name_H-M 'P 1'
_symmetry_Int_Tables_number 1
_symmetry_space_group_name_Hall 'P 1'
loop_
_atom_site_label
_atom_site_fract_x
_atom_site_fract_y
_atom_site_fract_z
C1 0.000 0.500 0.000
C2 0.000 0.000 0.500
C3 0.500 0.000 0.000
Mn1 0.500 0.500 0.500
Br1 0.000 0.000 0.000
```

Output
Energy above the lowest structure with this stoichiometry, kJ per mole of atoms: 169.6
ΔE_f (raw), eV/atom: 3.78
D(E_F), states/eV per cell: 9.0

Below is a relaxed MnC2Br crystal, with properties calculated at the PBE-GGA level.

Structure (CIF):
```
data_MnC2Br
_cell_length_a 3.878
_cell_length_b 3.878
_cell_length_c 3.878
_cell_angle_alpha 60.00
_cell_angle_beta 60.00
_cell_angle_gamma 60.00
_symmetry_space_group_name_H-M 'P 1'
_symmetry_Int_Tables_number 1
_symmetry_space_group_name_Hall 'P 1'
loop_
_atom_site_label
_atom_site_fract_x
_atom_site_fract_y
_atom_site_fract_z
C1 0.250 0.250 0.250
C2 0.750 0.750 0.750
Mn1 0.000 0.000 0.000
Br1 0.500 0.500 0.500
```

Output
Energy above the lowest structure with this stoichiometry, kJ per mole of atoms: 135.2
ΔE_f (raw), eV/atom: 2.83
D(E_F), states/eV per cell: 3.9